# 1
First-principles (PBE-GGA) data for a relaxed AgAuNO2 crystal, as listed in Alexandria via LeMat-Bulk.

Structure (POSCAR):
```
AgAuNO2
1.0
4.162 0.000 0.000
0.000 4.162 0.000
0.000 0.000 4.051
Ag O Au N
1 2 1 1
Cartesian
0.000 0.000 0.000
0.000 2.081 0.000
2.081 0.000 0.000
2.081 2.081 2.025
0.000 0.000 2.025
```

Values from the calculation:
Its formation energy from raw total energies is 1.417 eV/atom. The space group is P4/mmm, No. 123.



# 2
First-principles (PBE-GGA) data for a relaxed LiCuBiF6 crystal, as listed in Alexandria via LeMat-Bulk.

Structure (POSCAR):
```
LiCuBiF6
1.0
-1.879 0.050 -4.907
2.038 -4.417 1.988
-9.037 -2.624 3.434
F Bi Li Cu
12 2 2 2
Cartesian
-5.655 -4.499 0.281
-1.126 -3.199 -1.417
-3.224 -2.491 0.233
-8.357 -5.077 -0.641
-1.964 -3.827 2.528
-6.409 -1.664 0.463
0.142 -4.746 0.737
-6.914 -3.164 -2.014
-7.753 -3.791 1.932
-2.470 -5.326 0.052
-0.521 -1.913 1.156
-9.020 -2.245 -0.222
-4.519 -1.312 1.717
0.000 0.000 0.000
-2.833 -2.095 -1.750
-6.046 -4.896 2.265
-1.527 -3.584 0.548
-7.351 -3.407 -0.033
```

Values from the calculation:
Its formation energy from raw total energies is -2.238 eV/atom. The space group is P-31c, No. 163.



# 3
First-principles (PBE-GGA) data for a relaxed PrNdPu2N4 crystal, as listed in Alexandria via LeMat-Bulk.

Structure (POSCAR):
```
PrNdPu2N4
1.0
-0.464 -3.073 -1.733
-2.695 -2.408 4.992
-4.274 2.655 -3.564
N Nd Pu Pr
4 1 2 1
Cartesian
-3.252 -1.090 2.804
-2.119 -1.416 -0.573
-5.314 -1.409 0.269
-3.717 1.337 -1.376
0.000 0.000 0.000
-3.485 0.124 0.714
-2.369 -0.209 -2.648
-1.580 -2.740 1.630
```

Values from the calculation:
Its formation energy from raw total energies is -1.307 eV/atom. The space group is P2/m, No. 10.